DFT (PBE) results for an optimized crystal structure of CdHg2Br.

* energy above the lowest structure with this stoichiometry: 0.026 eV/atom
* E_form (uncorrected): -170 meV/atom

extended XYZ file:
```
4
Lattice="2.0644 1.1919 7.8941 -2.0644 1.1919 7.8941 0.0000 -2.3838 7.8941" Properties=species:S:1:pos:R:3 pbc="T T T"
Cd 0.0000 0.0000 0.0000
Hg 0.0000 0.0000 9.7655
Hg 0.0000 0.0000 13.9889
Br 0.0000 0.0000 4.0456
```

=====

DFT (PBE) results for an optimized crystal structure of AgMo2P.

* E_form: 192 meV/atom

extended XYZ file:
```
4
Lattice="3.0423 0.0000 0.0000 0.0000 3.0423 0.0000 0.0000 0.0000 6.9993" Properties=species:S:1:pos:R:3 pbc="T T T"
Ag 0.0000 0.0000 0.0000
Mo 0.0000 0.0000 3.8410
Mo 1.5211 1.5211 2.0551
P 1.5211 1.5211 4.9746
```

=====

DFT (PBE) results for an optimized crystal structure of Cr6FeC.

* E_form: 226 meV/atom

extended XYZ file:
```
8
Lattice="4.3502 0.0000 0.0000 -0.8097 4.4284 0.0000 -1.3272 -0.8799 4.5875" Properties=species:S:1:pos:R:3 pbc="T T T"
Cr -0.0134 0.9417 0.8309
Cr -0.1294 3.2631 2.0663
Cr -0.0944 1.0549 3.5881
Cr 2.3078 2.4936 0.9995
Cr 2.3429 0.2854 2.5213
Cr 2.2268 2.6068 3.7567
Fe 2.1751 0.0000 0.0000
C 1.1067 1.7743 2.2938
```

=====

DFT (PBE) results for an optimized crystal structure of NaCo3Cl.

* energy above the lowest structure with this stoichiometry: 1.177 eV/atom
* E_form (uncorrected): 1952 meV/atom

extended XYZ file:
```
5
Lattice="4.6575 0.0000 0.0000 0.0000 4.6575 0.0000 0.0000 0.0000 4.6575" Properties=species:S:1:pos:R:3 pbc="T T T"
Na 0.0000 0.0000 0.0000
Co 0.0000 0.0000 2.3287
Co 0.0000 2.3287 0.0000
Co 2.3287 0.0000 0.0000
Cl 2.3287 2.3287 2.3287
```

=====

no.,E (eV per formula unit)
1,-3.87
2,-29.15
3,-73.62
4,-14.72